The following is a DFT calculation (GGA-PBE) of a geometry-optimized Tb5DyBi6 structure.

It has space group C2/m (No. 12), with a = 7.772 Å, b = 13.463 Å, c = 7.771 Å, α = 90.00°, β = 109.48° and γ = 90.00°. The inequivalent atoms are Tb at (0.000, 0.000, 0.000), Tb at (0.000, 0.167, 0.500), Tb at (0.000, 0.333, 0.000), Dy at (0.000, 0.500, 0.500), Bi at (0.249, 0.500, 0.250) and Bi at (0.250, 0.166, 0.250).

As for the volume: 383.3 Å³/f.u. For the size of the total moment, the calculation gives 0.0 Bohr magnetons per cell. The energy of formation from the pure elements is -0.88 eV per atom. Its final energy is -5.13 eV per atom.

The following is a DFT calculation (GGA-PBE) of a geometry-optimized Tb3DyBi2 structure.

It has space group C2/m (No. 12), with a = 18.602 Å, b = 4.334 Å, c = 10.037 Å, α = 90.00°, β = 114.15° and γ = 90.00°. The inequivalent atoms are Tb at (0.056, 0.000, 0.170), Tb at (0.142, 0.500, 0.977), Tb at (0.188, 0.500, 0.391), Dy at (0.110, 0.000, 0.608), Bi at (0.007, 0.500, 0.342) and Bi at (0.248, 0.500, 0.781).

The energy above the lowest structure with this stoichiometry comes out at 0.120 eV per atom. As for the volume: 184.6 Å³/f.u. For the size of the total moment, the calculation gives 0.1 Bohr magnetons per cell. The energy of formation from the pure elements is -0.49 eV per atom. Its final energy is -4.86 eV per atom.

The following is a DFT calculation (GGA-PBE) of a geometry-optimized Tb2DyBi structure.

It has space group P4/mmm (No. 123), with a = 4.170 Å, b = 4.170 Å, c = 6.926 Å, α = 90.00°, β = 90.00° and γ = 90.00°. The inequivalent atoms are Tb at (0.000, 0.000, 0.238), Dy at (0.500, 0.500, 0.500) and Bi at (0.500, 0.500, 0.000).

The energy above the lowest structure with this stoichiometry comes out at 0.059 eV per atom. As for the volume: 120.4 Å³/f.u. For the size of the total moment, the calculation gives 0.0 Bohr magnetons per cell. The energy of formation from the pure elements is -0.35 eV per atom. Its final energy is -4.79 eV per atom.

The following is a DFT calculation (GGA-PBE) of a geometry-optimized TbDy3Bi3 structure.

It has space group P2_13 (No. 198), with a = 9.393 Å, b = 9.393 Å, c = 9.393 Å, α = 90.00°, β = 90.00° and γ = 90.00°. The inequivalent atoms are Tb at (0.073, 0.427, 0.573), Dy at (0.074, 0.574, 0.926), Dy at (0.177, 0.177, 0.177), Dy at (0.177, 0.823, 0.323) and Bi at (0.000, 0.251, 0.876).

The energy above the lowest structure with this stoichiometry comes out at 0.000 eV per atom. As for the volume: 207.2 Å³/f.u. For the size of the total moment, the calculation gives 0.0 Bohr magnetons per cell. The energy of formation from the pure elements is -0.73 eV per atom. Its final energy is -5.03 eV per atom.

The following is a DFT calculation (GGA-PBE) of a geometry-optimized Tb2Dy5Bi4 structure.

It has space group C2/m (No. 12), with a = 25.117 Å, b = 3.494 Å, c = 8.144 Å, α = 90.00°, β = 91.39° and γ = 90.00°. The inequivalent atoms are Tb at (0.232, 0.000, 0.321), Dy at (0.000, 0.000, 0.500), Dy at (0.139, 0.500, 0.552), Dy at (0.173, 0.500, 0.988), Bi at (0.050, 0.500, 0.810) and Bi at (0.099, 0.000, 0.237).

As for the volume: 357.2 Å³/f.u. For the size of the total moment, the calculation gives 0.0 Bohr magnetons per cell. The energy of formation from the pure elements is -0.21 eV per atom. Its final energy is -4.56 eV per atom.

The following is a DFT calculation (GGA-PBE) of a geometry-optimized Tb5Dy3Bi8 structure.

It has space group R-3m (No. 166, hexagonal axes), with a = 8.9673 Å, b = 8.9673 Å, c = 21.9649 Å, α = 90.00°, β = 90.00° and γ = 120.00°. The inequivalent atoms are Tb at (0.0000, 0.0000, 0.0000), Tb at (0.0000, 0.0000, 0.5000), Tb at (0.0000, 0.5000, 0.0000), Dy at (0.0000, 0.5000, 0.5000), Bi at (0.0000, 0.0000, 0.2496) and Bi at (0.0005, 0.5003, 0.7503).

As for the volume: 509.9 Å³/f.u. For the size of the total moment, the calculation gives 0.0 Bohr magnetons per cell. The energy of formation from the pure elements is -0.87 eV per atom. Its final energy is -5.12 eV per atom.

The following is a DFT calculation (GGA-PBE) of a geometry-optimized TbDy3Bi3 structure.

It has space group R-3 (No. 148, hexagonal axes), with a = 9.1124 Å, b = 9.1124 Å, c = 18.8396 Å, α = 90.00°, β = 90.00° and γ = 120.00°. The inequivalent atoms are Tb at (0.0000, 0.0000, 0.1665), Dy at (0.0010, 0.7443, 0.5820) and Bi at (0.0018, 0.6108, 0.4155).

The energy above the lowest structure with this stoichiometry comes out at 0.078 eV per atom. As for the volume: 225.8 Å³/f.u. For the size of the total moment, the calculation gives 0.0 Bohr magnetons per cell. The energy of formation from the pure elements is -0.65 eV per atom. Its final energy is -4.95 eV per atom.

The following is a DFT calculation (GGA-PBE) of a geometry-optimized Tb6Dy8Bi structure.

It has space group R-3 (No. 148, hexagonal axes), with a = 8.9403 Å, b = 8.9403 Å, c = 20.3799 Å, α = 90.00°, β = 90.00° and γ = 120.00°. The inequivalent atoms are Tb at (0.0593, 0.2511, 0.2052), Dy at (0.0000, 0.0000, 0.0761), Dy at (0.0812, 0.5561, 0.3108) and Bi at (0.0000, 0.0000, 0.5000).

As for the volume: 470.2 Å³/f.u. For the size of the total moment, the calculation gives 0.0 Bohr magnetons per cell. The energy of formation from the pure elements is -0.01 eV per atom. Its final energy is -4.58 eV per atom.

The following is a DFT calculation (GGA-PBE) of a geometry-optimized TbDyBiTe structure.

It has space group P4mm (No. 99), with a = 4.423 Å, b = 4.423 Å, c = 6.255 Å, α = 90.00°, β = 90.00° and γ = 90.00°. The inequivalent atoms are Tb at (0.000, 0.000, 0.000), Dy at (0.500, 0.500, 0.502), Bi at (0.500, 0.500, 0.002) and Te at (0.000, 0.000, 0.500).

As for the volume: 122.4 Å³/f.u. For the size of the total moment, the calculation gives 0.0 Bohr magnetons per cell. Its final energy is -5.17 eV per atom.

The following is a DFT calculation (GGA-PBE) of a geometry-optimized Tb3DyTh2Bi6 structure.

It has space group C2/m (No. 12), with a = 19.723 Å, b = 4.535 Å, c = 9.044 Å, α = 90.00°, β = 103.19° and γ = 90.00°. The inequivalent atoms are Tb at (0.000, 0.000, 0.000), Tb at (0.167, 0.500, 0.334), Dy at (0.000, 0.000, 0.500), Th at (0.165, 0.500, 0.831), Bi at (0.003, 0.500, 0.252), Bi at (0.165, 0.000, 0.088) and Bi at (0.166, 0.000, 0.577).

As for the volume: 393.8 Å³/f.u. For the size of the total moment, the calculation gives 0.0 Bohr magnetons per cell. The energy of formation from the pure elements is -0.77 eV per atom. Its final energy is -5.49 eV per atom.

The following is a DFT calculation (GGA-PBE) of a geometry-optimized Tb2DyTh3Bi6 structure.

It has space group C2/m (No. 12), with a = 19.796 Å, b = 4.550 Å, c = 9.061 Å, α = 90.00°, β = 103.05° and γ = 90.00°. The inequivalent atoms are Tb at (0.167, 0.000, 0.333), Dy at (0.000, 0.500, 0.000), Th at (0.000, 0.500, 0.500), Th at (0.167, 0.000, 0.833), Bi at (0.002, 0.000, 0.244), Bi at (0.164, 0.500, 0.087) and Bi at (0.169, 0.500, 0.578).

As for the volume: 397.5 Å³/f.u. For the size of the total moment, the calculation gives 0.0 Bohr magnetons per cell. The energy of formation from the pure elements is -0.72 eV per atom. Its final energy is -5.67 eV per atom.

The following is a DFT calculation (GGA-PBE) of a geometry-optimized TbDy2ThBi5 structure.

It has space group P4/mmm (No. 123), with a = 5.720 Å, b = 5.720 Å, c = 11.948 Å, α = 90.00°, β = 90.00° and γ = 90.00°. The inequivalent atoms are Tb at (0.000, 0.000, 0.000), Dy at (0.500, 0.500, 0.267), Th at (0.000, 0.000, 0.500), Bi at (0.000, 0.000, 0.242), Bi at (0.000, 0.500, 0.500) and Bi at (0.500, 0.500, 0.000).

As for the volume: 390.9 Å³/f.u. For the size of the total moment, the calculation gives 0.0 Bohr magnetons per cell. The energy of formation from the pure elements is 0.22 eV per atom. Its final energy is -4.30 eV per atom.